Record 1
Crystalline ZnInPd2Ru at its relaxed geometry. Source: Alexandria via LeMat-Bulk, functional PBE-GGA.

```
ZnInPd2Ru
1.0
4.574 0.000 0.000
0.000 4.574 0.000
0.000 0.000 4.640
Zn In Pd Ru
1 1 2 1
Direct
0.000 0.000 0.000
0.500 0.500 0.500
0.000 0.500 0.000
0.500 0.000 0.000
0.000 0.000 0.500
```

The calculation puts the density of states at the Fermi level at 3.50 states/eV/cell. The raw total energy is -4.188 eV per atom. Its formation enthalpy at 0 K is 0.547 eV/atom. The calculation puts the total moment at 0.88 Bohr magnetons per cell.

Record 2
Crystalline ZrInPd2Ru at its relaxed geometry. Source: Alexandria via LeMat-Bulk, functional PBE-GGA.

```
ZrInPd2Ru
1.0
4.795 0.000 0.000
0.000 4.795 0.000
0.000 0.000 4.924
Zr In Pd Ru
1 1 2 1
Direct
0.000 0.000 0.000
0.500 0.500 0.000
0.000 0.500 0.500
0.500 0.000 0.500
0.500 0.500 0.500
```

The calculation puts the density of states at the Fermi level at 7.38 states/eV/cell. The raw total energy is -5.363 eV per atom. Its formation enthalpy at 0 K is 0.827 eV/atom. The calculation puts the total moment at 0.01 Bohr magnetons per cell.

Record 3
Crystalline In2Pd2S at its relaxed geometry. Source: Alexandria via LeMat-Bulk, functional PBE-GGA.

```
In2Pd2S
1.0
7.139 0.000 0.000
0.000 7.139 0.000
0.000 0.000 3.723
In Pd S
4 4 2
Direct
0.158 0.342 0.000
0.342 0.842 0.000
0.658 0.158 0.000
0.842 0.658 0.000
0.145 0.645 0.500
0.355 0.145 0.500
0.645 0.855 0.500
0.855 0.355 0.500
0.000 0.000 0.500
0.500 0.500 0.500
```

The calculation puts the density of states at the Fermi level at 2.96 states/eV/cell. The raw total energy is -4.254 eV per atom. For the raw formation energy, the calculation gives -25 kJ/mol of atoms. The calculation puts the total moment at 0.00 Bohr magnetons per cell.

Record 4
Crystalline In2Pd8S at its relaxed geometry. Source: Alexandria via LeMat-Bulk, functional PBE-GGA.

```
In2Pd8S
1.0
-2.306 2.860 6.841
2.306 -2.860 6.841
2.306 2.860 -6.841
In Pd S
2 8 1
Direct
0.185 0.185 0.000
0.815 0.815 0.000
0.114 0.370 0.744
0.254 0.000 0.254
0.309 0.809 0.500
0.374 0.630 0.744
0.626 0.370 0.256
0.691 0.191 0.500
0.746 0.000 0.746
0.886 0.630 0.256
0.500 0.500 0.000
```

The calculation puts the density of states at the Fermi level at 5.16 states/eV/cell. The raw total energy is -5.003 eV per atom. For the raw formation energy, the calculation gives -34 kJ/mol of atoms. The calculation puts the total moment at 0.00 Bohr magnetons per cell.

Record 5
Crystalline In5PdS8 at its relaxed geometry. Source: Alexandria via LeMat-Bulk, functional PBE-GGA.

```
In5PdS8
1.0
0.000 5.444 5.444
5.444 0.000 5.444
5.444 5.444 0.000
In Pd S
5 1 8
Direct
0.000 0.000 0.000
0.381 0.381 0.381
0.381 0.381 0.857
0.381 0.857 0.381
0.857 0.381 0.381
0.750 0.750 0.750
0.134 0.134 0.134
0.134 0.134 0.597
0.134 0.597 0.134
0.135 0.622 0.622
0.597 0.134 0.134
0.622 0.135 0.622
0.622 0.622 0.135
0.622 0.622 0.622
```

The calculation puts the density of states at the Fermi level at 7.69 states/eV/cell. The raw total energy is -4.186 eV per atom. For the raw formation energy, the calculation gives -46 kJ/mol of atoms. The calculation puts the total moment at 0.55 Bohr magnetons per cell.

Record 6
Crystalline InPd3S at its relaxed geometry. Source: Alexandria via LeMat-Bulk, functional PBE-GGA.

```
InPd3S
1.0
4.942 0.000 0.000
0.000 4.942 0.000
0.000 0.000 4.942
In Pd S
1 3 1
Direct
0.000 0.000 0.000
0.000 0.000 0.500
0.000 0.500 0.000
0.500 0.000 0.000
0.500 0.500 0.500
```

The calculation puts the density of states at the Fermi level at 3.96 states/eV/cell. The raw total energy is -3.610 eV per atom. For the raw formation energy, the calculation gives 85 kJ/mol of atoms. The calculation puts the total moment at 0.00 Bohr magnetons per cell.

Record 7
Crystalline InPd4S at its relaxed geometry. Source: Alexandria via LeMat-Bulk, functional PBE-GGA.

```
InPd4S
1.0
4.104 -5.650 0.000
4.104 5.650 0.000
-3.179 0.000 4.622
In Pd S
2 8 2
Direct
0.089 0.911 0.750
0.911 0.089 0.250
0.041 0.498 0.759
0.298 0.330 0.237
0.330 0.298 0.737
0.498 0.041 0.259
0.502 0.959 0.741
0.670 0.702 0.263
0.702 0.670 0.763
0.959 0.502 0.241
0.325 0.675 0.250
0.675 0.325 0.750
```

The calculation puts the density of states at the Fermi level at 7.86 states/eV/cell. The raw total energy is -4.823 eV per atom. For the raw formation energy, the calculation gives -21 kJ/mol of atoms. The calculation puts the total moment at 0.00 Bohr magnetons per cell.

Record 8
Crystalline InPd3S at its relaxed geometry. Source: Alexandria via LeMat-Bulk, functional PBE-GGA.

```
InPd3S
1.0
5.465 -4.754 0.000
5.465 4.754 0.000
-2.056 0.000 6.521
In Pd S
4 12 4
Direct
0.022 0.978 0.750
0.367 0.633 0.250
0.633 0.367 0.750
0.978 0.022 0.250
0.025 0.682 0.960
0.036 0.684 0.402
0.283 0.321 0.400
0.316 0.964 0.098
0.318 0.975 0.540
0.321 0.283 0.900
0.679 0.717 0.100
0.682 0.025 0.460
0.684 0.036 0.902
0.717 0.679 0.600
0.964 0.316 0.598
0.975 0.318 0.040
0.210 0.521 0.710
0.479 0.790 0.790
0.521 0.210 0.210
0.790 0.479 0.290
```

The calculation puts the density of states at the Fermi level at 9.64 states/eV/cell. The raw total energy is -4.815 eV per atom. For the raw formation energy, the calculation gives -31 kJ/mol of atoms. The calculation puts the total moment at 0.00 Bohr magnetons per cell.

Record 9
Crystalline In6PdS8 at its relaxed geometry. Source: Alexandria via LeMat-Bulk, functional PBE-GGA.

```
In6PdS8
1.0
5.842 3.373 3.576
-5.842 3.373 3.576
0.000 -6.746 3.576
In Pd S
6 1 8
Direct
0.156 0.534 0.352
0.352 0.156 0.534
0.466 0.648 0.844
0.534 0.352 0.156
0.648 0.844 0.466
0.844 0.466 0.648
0.000 0.000 0.000
0.164 0.402 0.669
0.209 0.209 0.209
0.331 0.836 0.598
0.402 0.669 0.164
0.598 0.331 0.836
0.669 0.164 0.402
0.791 0.791 0.791
0.836 0.598 0.331
```

The calculation puts the density of states at the Fermi level at 6.41 states/eV/cell. The raw total energy is -3.924 eV per atom. For the raw formation energy, the calculation gives -27 kJ/mol of atoms. The calculation puts the total moment at 0.00 Bohr magnetons per cell.

Record 10
Crystalline InPd3S at its relaxed geometry. Source: Alexandria via LeMat-Bulk, functional PBE-GGA.

```
InPd3S
1.0
4.559 0.000 0.000
0.000 4.559 0.000
0.000 0.000 4.559
In Pd S
1 3 1
Direct
0.000 0.000 0.000
0.000 0.500 0.500
0.500 0.000 0.500
0.500 0.500 0.000
0.500 0.500 0.500
```

The calculation puts the density of states at the Fermi level at 4.33 states/eV/cell. The raw total energy is -4.652 eV per atom. For the raw formation energy, the calculation gives -16 kJ/mol of atoms. The calculation puts the total moment at 0.00 Bohr magnetons per cell.

Record 11
Crystalline ScInPdS2 at its relaxed geometry. Source: Alexandria via LeMat-Bulk, functional PBE-GGA.

```
ScInPdS2
1.0
4.835 0.000 0.000
0.000 4.835 0.000
0.000 0.000 4.877
Sc In Pd S
1 1 1 2
Direct
0.000 0.000 0.000
0.500 0.500 0.000
0.000 0.000 0.500
0.000 0.500 0.500
0.500 0.000 0.500
```

The calculation puts the density of states at the Fermi level at 3.44 states/eV/cell. The raw total energy is -4.568 eV per atom. For the raw formation energy, the calculation gives -6 kJ/mol of atoms. The calculation puts the total moment at 0.00 Bohr magnetons per cell.

Record 12
Crystalline In2SnPdS at its relaxed geometry. Source: Alexandria via LeMat-Bulk, functional PBE-GGA.

```
In2SnPdS
1.0
5.428 0.000 0.000
0.000 5.428 0.000
0.000 0.000 4.469
In Sn Pd S
2 1 1 1
Direct
0.000 0.500 0.000
0.500 0.000 0.000
0.000 0.000 0.500
0.500 0.500 0.500
0.500 0.500 0.000
```

The calculation puts the density of states at the Fermi level at 4.04 states/eV/cell. The raw total energy is -3.641 eV per atom. For the raw formation energy, the calculation gives 12 kJ/mol of atoms. The calculation puts the total moment at 0.00 Bohr magnetons per cell.

Record 13
Crystalline InTePd2S at its relaxed geometry. Source: Alexandria via LeMat-Bulk, functional PBE-GGA.

```
InTePd2S
1.0
5.020 0.000 0.000
0.000 5.020 0.000
0.000 0.000 5.266
In Te Pd S
1 1 2 1
Direct
0.000 0.000 0.000
0.500 0.500 0.500
0.000 0.500 0.500
0.500 0.000 0.500
0.500 0.500 0.000
```

The calculation puts the density of states at the Fermi level at 3.18 states/eV/cell. The raw total energy is -3.817 eV per atom. For the raw formation energy, the calculation gives 25 kJ/mol of atoms. The calculation puts the total moment at 0.00 Bohr magnetons per cell.

Record 14
Crystalline InTe2PdS at its relaxed geometry. Source: Alexandria via LeMat-Bulk, functional PBE-GGA.

```
InTe2PdS
1.0
5.638 0.000 0.000
0.000 5.638 0.000
0.000 0.000 5.090
In Te Pd S
1 2 1 1
Direct
0.000 0.000 0.000
0.000 0.500 0.000
0.500 0.000 0.000
0.000 0.000 0.500
0.500 0.500 0.500
```

The calculation puts the density of states at the Fermi level at 5.62 states/eV/cell. The raw total energy is -2.755 eV per atom. For the raw formation energy, the calculation gives 88 kJ/mol of atoms. The calculation puts the total moment at 1.96 Bohr magnetons per cell.

Record 15
Crystalline TiIn2PdS at its relaxed geometry. Source: Alexandria via LeMat-Bulk, functional PBE-GGA.

```
TiIn2PdS
1.0
5.094 0.000 0.000
0.000 5.094 0.000
0.000 0.000 4.416
Ti In Pd S
1 2 1 1
Direct
0.000 0.000 0.000
0.000 0.500 0.500
0.500 0.000 0.500
0.500 0.500 0.000
0.000 0.000 0.500
```

The calculation puts the density of states at the Fermi level at 4.89 states/eV/cell. The raw total energy is -4.282 eV per atom. For the raw formation energy, the calculation gives 25 kJ/mol of atoms. The calculation puts the total moment at 0.00 Bohr magnetons per cell.

Record 16
Crystalline ZnInPdS2 at its relaxed geometry. Source: Alexandria via LeMat-Bulk, functional PBE-GGA.

```
ZnInPdS2
1.0
4.670 0.000 0.000
0.000 4.670 0.000
0.000 0.000 4.940
Zn In Pd S
1 1 1 2
Direct
0.000 0.000 0.000
0.500 0.500 0.500
0.000 0.000 0.500
0.000 0.500 0.000
0.500 0.000 0.000
```

The calculation puts the density of states at the Fermi level at 6.56 states/eV/cell. The raw total energy is -3.226 eV per atom. For the raw formation energy, the calculation gives 26 kJ/mol of atoms. The calculation puts the total moment at 0.00 Bohr magnetons per cell.

Record 17
Crystalline ZrInPd2S at its relaxed geometry. Source: Alexandria via LeMat-Bulk, functional PBE-GGA.

```
ZrInPd2S
1.0
4.504 0.000 0.000
0.000 4.504 0.000
0.000 0.000 5.426
Zr In Pd S
1 1 2 1
Direct
0.000 0.000 0.000
0.500 0.500 0.000
0.000 0.500 0.500
0.500 0.000 0.500
0.500 0.500 0.500
```

The calculation puts the density of states at the Fermi level at 5.01 states/eV/cell. The raw total energy is -5.047 eV per atom. For the raw formation energy, the calculation gives 11 kJ/mol of atoms. The calculation puts the total moment at 0.00 Bohr magnetons per cell.

Record 18
Crystalline InSb2Pd7 at its relaxed geometry. Source: Alexandria via LeMat-Bulk, functional PBE-GGA.

```
InSb2Pd7
1.0
3.733 -6.650 0.000
3.733 6.650 0.000
0.000 0.000 4.315
In Sb Pd
1 2 7
Direct
0.000 0.000 0.000
0.306 0.694 0.500
0.694 0.306 0.500
0.077 0.289 0.500
0.203 0.797 0.000
0.289 0.077 0.500
0.500 0.500 0.500
0.711 0.923 0.500
0.797 0.203 0.000
0.923 0.711 0.500
```

The calculation puts the density of states at the Fermi level at 7.47 states/eV/cell. The raw total energy is -4.872 eV per atom. For the raw formation energy, the calculation gives -13 kJ/mol of atoms. The calculation puts the total moment at 0.00 Bohr magnetons per cell.

Record 19
Crystalline InSb2Pd3 at its relaxed geometry. Source: Alexandria via LeMat-Bulk, functional PBE-GGA.

```
InSb2Pd3
1.0
6.153 0.000 0.000
0.000 3.967 0.000
-1.645 0.000 9.829
In Sb Pd
2 4 6
Direct
0.044 0.250 0.294
0.956 0.750 0.706
0.215 0.250 0.958
0.433 0.250 0.627
0.567 0.750 0.373
0.785 0.750 0.042
0.187 0.750 0.491
0.232 0.750 0.160
0.409 0.750 0.824
0.591 0.250 0.176
0.768 0.250 0.840
0.813 0.250 0.509
```

The calculation puts the density of states at the Fermi level at 4.63 states/eV/cell. The raw total energy is -4.850 eV per atom. For the raw formation energy, the calculation gives -41 kJ/mol of atoms. The calculation puts the total moment at 0.00 Bohr magnetons per cell.

Record 20
Crystalline InSbPd2 at its relaxed geometry. Source: Alexandria via LeMat-Bulk, functional PBE-GGA.

```
InSbPd2
1.0
1.654 0.955 8.289
-1.654 0.955 8.289
0.000 -1.909 8.289
In Sb Pd
1 1 2
Direct
0.000 0.000 0.000
0.833 0.833 0.833
0.251 0.251 0.251
0.416 0.416 0.416
```

The calculation puts the density of states at the Fermi level at 1.96 states/eV/cell. The raw total energy is -4.630 eV per atom. For the raw formation energy, the calculation gives -31 kJ/mol of atoms. The calculation puts the total moment at 0.00 Bohr magnetons per cell.